# Re2TeAu PBE relaxed
data_Re2TeAu
_chemical_formula_sum 'Re2 Te1 Au1'
_cell_length_a 2.8928
_cell_length_b 4.0868
_cell_length_c 6.4217
_cell_angle_alpha 90.00
_cell_angle_beta 90.00
_cell_angle_gamma 90.00
_space_group_name_H-M_alt 'P 1'
_space_group_IT_number 1
loop_
_space_group_symop_operation_xyz
'x,y,z'
loop_
_atom_site_label
_atom_site_type_symbol
_atom_site_fract_x
_atom_site_fract_y
_atom_site_fract_z
Re1 Re 0.0000 0.0000 0.1929
Re2 Re 0.0000 0.0000 0.8071
Te1 Te 0.0000 0.5000 0.5000
Au1 Au 0.5000 0.5000 0.0000
# Uncorrected energy, eV per atom: -6.957
# Space-group type: No. 47
# V, Å³/f.u.: 75.9